This record from Alexandria via LeMat-Bulk describes crystalline Nd5Sm3Y2 at its relaxed geometry. The functional is GGA-PBE.

a = 10.2213 Å, b = 10.2163 Å, c = 9.1806 Å
α = 108.19°, β = 108.21°, γ = 116.02°
Sites, in units of the cell vectors:
1 Nd 0.2302 0.4802 0.9603
2 Nd 0.7698 0.5198 0.0397
3 Nd 0.9800 0.7300 0.4600
4 Nd 0.4803 0.2303 0.4605
5 Nd 0.0200 0.2700 0.5400
6 Nd 0.5197 0.7697 0.5395
7 Nd 0.8785 0.6263 0.7519
8 Nd 0.1215 0.3737 0.2481
9 Nd 0.3734 0.1256 0.7518
10 Nd 0.6266 0.8744 0.2482
11 Sm 0.2700 0.0200 0.0400
12 Sm 0.7300 0.9800 0.9600
13 Sm 0.5281 0.4699 0.2499
14 Sm 0.4719 0.5301 0.7501
15 Sm 0.2219 0.7800 0.2499
16 Sm 0.7781 0.2200 0.7501
17 Y 0.9711 0.0287 0.7522
18 Y 0.0289 0.9713 0.2478
19 Y 0.2811 0.7235 0.7522
20 Y 0.7189 0.2765 0.2478

## Properties
Energy relative to the elements   0.172 eV/atom
VASP energy   -4.9201 eV/atom
Distance to the lowest polymorph of the same formula   0.0000 eV per atom



This record from Alexandria via LeMat-Bulk describes crystalline NdSm5Y3 at its relaxed geometry. The functional is GGA-PBE.

a = 6.4204 Å, b = 12.0408 Å, c = 11.4427 Å
α = 130.41°, β = 90.00°, γ = 105.46°
Sites, in units of the cell vectors:
1 Nd 0.8679 0.0000 0.7500
2 Nd 0.1321 0.0000 0.2500
3 Sm 0.3994 0.0000 0.7500
4 Sm 0.6491 0.6607 0.0284
5 Sm 0.8792 0.3386 0.1296
6 Sm 0.3509 0.3393 0.9716
7 Sm 0.5406 0.6614 0.3704
8 Sm 0.6006 0.0000 0.2500
9 Sm 0.0116 0.6607 0.5284
10 Sm 0.9884 0.3393 0.4716
11 Sm 0.4594 0.3386 0.6296
12 Sm 0.1208 0.6614 0.8704
13 Y 0.0000 0.0000 0.0000
14 Y 0.4629 0.3219 0.3072
15 Y 0.0000 0.0000 0.5000
16 Y 0.5371 0.6781 0.6928
17 Y 0.8590 0.3219 0.8072
18 Y 0.1410 0.6781 0.1928

## Properties
Energy relative to the elements   0.279 eV/atom
VASP energy   -5.0275 eV/atom
Distance to the lowest polymorph of the same formula   0.0000 eV per atom



This record from Alexandria via LeMat-Bulk describes crystalline Nd2Sm7Y at its relaxed geometry. The functional is GGA-PBE.

a = 3.5093 Å, b = 15.0439 Å, c = 15.0440 Å
α = 154.31°, β = 90.00°, γ = 90.00°
Sites, in units of the cell vectors:
1 Nd 0.5000 0.7052 0.2948
2 Nd 0.5000 0.2948 0.7052
3 Sm 0.0000 0.8125 0.1875
4 Sm 0.0000 0.1875 0.8125
5 Sm 0.5000 0.1467 0.3433
6 Sm 0.5000 0.8533 0.6567
7 Sm 0.5000 0.3433 0.1467
8 Sm 0.5000 0.6567 0.8533
9 Sm 0.5000 0.5000 0.5000
10 Y 0.0000 0.0000 0.0000

## Properties
Energy relative to the elements   0.150 eV/atom
VASP energy   -4.7536 eV/atom
Distance to the lowest polymorph of the same formula   0.1349 eV per atom



This record from Alexandria via LeMat-Bulk describes crystalline Nd12Sm7Y at its relaxed geometry. The functional is GGA-PBE.

a = 10.0717 Å, b = 10.0717 Å, c = 10.0717 Å
α = 109.47°, β = 109.47°, γ = 109.47°
Sites, in units of the cell vectors:
1 Nd 0.5018 0.7508 0.7509
2 Nd 0.9999 0.7508 0.2491
3 Nd 0.4982 0.2492 0.2491
4 Nd 0.0001 0.2492 0.7509
5 Nd 0.7509 0.0001 0.2492
6 Nd 0.7509 0.5018 0.7508
7 Nd 0.2491 0.9999 0.7508
8 Nd 0.2491 0.4982 0.2492
9 Nd 0.7508 0.7509 0.5018
10 Nd 0.2492 0.2491 0.4982
11 Nd 0.7508 0.2491 0.9999
12 Nd 0.2492 0.7509 0.0001
13 Sm 0.5000 0.5000 0.0000
14 Sm 0.0000 0.5000 0.5000
15 Sm 0.5000 0.0000 0.5000
16 Sm 0.5000 0.5000 0.5000
17 Sm 0.0000 0.0000 0.5000
18 Sm 0.5000 0.0000 0.0000
19 Sm 0.0000 0.5000 0.0000
20 Y 0.0000 0.0000 0.0000

## Properties
Energy relative to the elements   0.617 eV/atom
VASP energy   -4.2186 eV/atom
Distance to the lowest polymorph of the same formula   0.3961 eV per atom



This record from Alexandria via LeMat-Bulk describes crystalline NdSm2Y7 at its relaxed geometry. The functional is GGA-PBE.

a = 5.5829 Å, b = 8.5448 Å, c = 8.5447 Å
α = 85.00°, β = 70.92°, γ = 70.91°
Sites, in units of the cell vectors:
1 Nd 0.0000 0.0000 0.0000
2 Sm 0.5000 0.8409 0.1591
3 Sm 0.5000 0.1591 0.8409
4 Y 0.0000 0.6645 0.3355
5 Y 0.0000 0.3355 0.6645
6 Y 0.7473 0.1029 0.4024
7 Y 0.2527 0.8971 0.5976
8 Y 0.7473 0.4024 0.1029
9 Y 0.2527 0.5976 0.8971
10 Y 0.5000 0.5000 0.5000

## Properties
Energy relative to the elements   0.399 eV/atom
VASP energy   -5.5460 eV/atom
Distance to the lowest polymorph of the same formula   0.0000 eV per atom



This record from Alexandria via LeMat-Bulk describes crystalline Nd8Sm6Y at its relaxed geometry. The functional is GGA-PBE.

a = 9.2789 Å, b = 9.2789 Å, c = 8.8377 Å
α = 58.33°, β = 58.33°, γ = 60.00°
Sites, in units of the cell vectors:
1 Nd 0.2505 0.2824 0.5799
2 Nd 0.7176 0.1128 0.4201
3 Nd 0.1128 0.7495 0.4201
4 Nd 0.5778 0.5778 0.2667
5 Nd 0.4222 0.4222 0.7333
6 Nd 0.8872 0.2505 0.5799
7 Nd 0.2824 0.8872 0.5799
8 Nd 0.7495 0.7176 0.4201
9 Sm 0.4610 0.9019 0.8791
10 Sm 0.0981 0.2420 0.1209
11 Sm 0.2420 0.5390 0.1209
12 Sm 0.7580 0.4610 0.8791
13 Sm 0.9019 0.7580 0.8791
14 Sm 0.5390 0.0981 0.1209
15 Y 0.0000 0.0000 0.0000

## Properties
Energy relative to the elements   0.115 eV/atom
VASP energy   -4.7460 eV/atom
Distance to the lowest polymorph of the same formula   0.0000 eV per atom



This record from Alexandria via LeMat-Bulk describes crystalline Nd3Sm4Y4 at its relaxed geometry. The functional is GGA-PBE.

a = 5.7773 Å, b = 6.7345 Å, c = 10.7298 Å
α = 90.00°, β = 90.00°, γ = 115.40°
Sites, in units of the cell vectors:
1 Nd 0.4055 0.8110 0.2956
2 Nd 0.4055 0.8110 0.7044
3 Nd 0.2551 0.5102 0.0000
4 Sm 0.7569 0.5137 0.7888
5 Sm 0.7569 0.5137 0.2112
6 Sm 0.8850 0.7699 0.5000
7 Sm 0.9602 0.9204 0.0000
8 Y 0.6145 0.2291 0.5000
9 Y 0.5557 0.1115 0.0000
10 Y 0.1016 0.2032 0.7029
11 Y 0.1016 0.2032 0.2971

## Properties
Energy relative to the elements   0.148 eV/atom
VASP energy   -5.2188 eV/atom
Distance to the lowest polymorph of the same formula   0.0000 eV per atom



This record from Alexandria via LeMat-Bulk describes crystalline Nd5SmY at its relaxed geometry. The functional is GGA-PBE.

a = 6.9808 Å, b = 6.9808 Å, c = 13.8373 Å
α = 61.96°, β = 61.96°, γ = 59.86°
Sites, in units of the cell vectors:
1 Nd 0.6035 0.8383 0.2476
2 Nd 0.3101 0.3433 0.5018
3 Nd 0.8383 0.6035 0.7476
4 Nd 0.1706 0.8294 0.2500
5 Nd 0.6567 0.6899 0.9982
6 Nd 0.3433 0.3101 0.0018
7 Nd 0.8294 0.1706 0.7500
8 Nd 0.1617 0.3965 0.2524
9 Nd 0.6899 0.6567 0.4982
10 Nd 0.3965 0.1617 0.7524
11 Sm 0.0000 0.0000 0.0000
12 Sm 0.0000 0.0000 0.5000
13 Y 0.7248 0.2752 0.2500
14 Y 0.2752 0.7248 0.7500

## Properties
Energy relative to the elements   0.163 eV/atom
VASP energy   -4.8399 eV/atom



This record from Alexandria via LeMat-Bulk describes crystalline NdSm4Y6 at its relaxed geometry. The functional is GGA-PBE.

a = 5.7954 Å, b = 5.6588 Å, c = 26.0177 Å
α = 90.00°, β = 90.00°, γ = 120.80°
Sites, in units of the cell vectors:
1 Nd 0.8165 0.6330 0.2500
2 Nd 0.1835 0.3670 0.7500
3 Sm 0.8426 0.6853 0.5431
4 Sm 0.4706 0.9412 0.1216
5 Sm 0.1574 0.3147 0.4569
6 Sm 0.5294 0.0588 0.8784
7 Sm 0.8426 0.6853 0.9569
8 Sm 0.1574 0.3147 0.0431
9 Sm 0.5294 0.0588 0.6216
10 Sm 0.4706 0.9412 0.3784
11 Y 0.5000 0.0000 0.0000
12 Y 0.5000 0.0000 0.5000
13 Y 0.1445 0.2890 0.3186
14 Y 0.8555 0.7110 0.6814
15 Y 0.8555 0.7110 0.8186
16 Y 0.1445 0.2890 0.1814
17 Y 0.8112 0.6224 0.3971
18 Y 0.1888 0.3776 0.6029
19 Y 0.1888 0.3776 0.8971
20 Y 0.8112 0.6224 0.1029
21 Y 0.4819 0.9638 0.2500
22 Y 0.5181 0.0362 0.7500

## Properties
Energy relative to the elements   0.111 eV/atom
VASP energy   -5.5648 eV/atom
Distance to the lowest polymorph of the same formula   0.0000 eV per atom



This record from Alexandria via LeMat-Bulk describes crystalline Nd6Sm5Y at its relaxed geometry. The functional is GGA-PBE.

a = 12.0782 Å, b = 6.3355 Å, c = 6.3348 Å
α = 60.00°, β = 84.98°, γ = 79.93°
Sites, in units of the cell vectors:
1 Nd 0.7505 0.0826 0.3334
2 Nd 0.2495 0.5840 0.3334
3 Nd 0.2496 0.2507 0.0000
4 Nd 0.7504 0.7493 0.0000
5 Nd 0.7505 0.4160 0.6666
6 Nd 0.2495 0.9174 0.6666
7 Sm 0.5000 0.1665 0.6670
8 Sm 0.0000 0.3332 0.3336
9 Sm 0.5000 0.5000 0.0000
10 Sm 0.0000 0.6668 0.6664
11 Sm 0.5000 0.8335 0.3330
12 Y 0.0000 0.0000 0.0000

## Properties
Energy relative to the elements   0.011 eV/atom
VASP energy   -4.8775 eV/atom



This record from Alexandria via LeMat-Bulk describes crystalline Nd3Sm4Y at its relaxed geometry. The functional is GGA-PBE.

a = 3.5200 Å, b = 6.9097 Å, c = 12.0203 Å
α = 106.70°, β = 98.42°, γ = 90.00°
Sites, in units of the cell vectors:
1 Y 0.5000 0.0000 0.0000
2 Nd 0.0000 0.5000 0.0000
3 Nd 0.1252 0.8851 0.2503
4 Nd 0.8748 0.1149 0.7497
5 Sm 0.7415 0.2456 0.4830
6 Sm 0.2585 0.7544 0.5170
7 Sm 0.1244 0.3659 0.2488
8 Sm 0.8756 0.6341 0.7512

## Properties
Energy relative to the elements   0.149 eV/atom
VASP energy   -4.8064 eV/atom
Distance to the lowest polymorph of the same formula   0.1210 eV per atom



This record from Alexandria via LeMat-Bulk describes crystalline Nd4Sm5Y3 at its relaxed geometry. The functional is GGA-PBE.

a = 5.9947 Å, b = 8.7237 Å, c = 9.8249 Å
α = 105.72°, β = 72.24°, γ = 69.90°
Site moments in Bohr magnetons follow the coordinates.
Sites, in units of the cell vectors:
1 Nd 0.8613 0.2222 0.0552  0.00
2 Nd 0.1626 0.0543 0.6206  0.00
3 Nd 0.8374 0.9457 0.3794  0.00
4 Nd 0.1387 0.7778 0.9448  0.00
5 Sm 0.6282 0.9445 0.7991  0.00
6 Sm 0.5000 0.5000 0.5000  0.06
7 Sm 0.2166 0.4554 0.1115  0.00
8 Sm 0.7834 0.5446 0.8885  0.00
9 Sm 0.3718 0.0555 0.2009  0.00
10 Y 0.5202 0.6889 0.2707  0.00
11 Y 0.0000 0.5000 0.5000  0.07
12 Y 0.4798 0.3111 0.7293  0.00

## Properties
Energy relative to the elements   0.218 eV/atom
VASP energy   -4.9535 eV/atom